VASP calculation (PBE-GGA) on a relaxed Tb2DyZn3AgAu2 crystal.

Unit cell a=3.830 b=7.561 c=7.561 alpha=119.93 beta=90.00 gamma=90.00
Fractional positions:
Zn (0.500, 0.260, 0.000)
Zn (0.500, 0.740, 0.740)
Zn (0.500, 0.000, 0.260)
Tb (0.000, 0.000, 0.595)
Tb (0.000, 0.595, 0.000)
Au (0.500, 0.666, 0.334)
Au (0.500, 0.334, 0.666)
Dy (0.000, 0.405, 0.405)
Ag (0.000, 0.001, 0.001)

Computed properties:
ρ: 10312 kg/m3
formation enthalpy at 0 K: -0.58 eV per atom
total magnetization: 0.01 μB/cell
crystal system: orthorhombic
SG: Amm2
raw total energy: -3.582 eV/atom

---

VASP calculation (PBE-GGA) on a relaxed Cs4CdSi2O7 crystal.

Unit cell a=6.549 b=7.357 c=7.455 alpha=113.39 beta=101.44 gamma=107.21
Fractional positions:
Si (0.205, 0.067, 0.216)
Si (0.795, 0.933, 0.784)
O (0.837, 0.757, 0.584)
O (0.193, 0.852, 0.231)
O (0.454, 0.210, 0.215)
O (0.807, 0.148, 0.769)
O (0.163, 0.243, 0.416)
O (0.546, 0.790, 0.785)
O (0.000, 0.000, 0.000)
Cs (0.326, 0.092, 0.731)
Cs (0.674, 0.908, 0.269)
Cs (0.919, 0.452, 0.218)
Cs (0.081, 0.548, 0.782)
Cd (0.500, 0.500, 0.500)

Computed properties:
ρ: 4591 kg/m3
crystal system: triclinic
SG: P-1
raw total energy: -5.620 eV/atom

---

VASP calculation (PBE-GGA) on a relaxed CdPbAu2 crystal.

Unit cell a=4.998 b=4.998 c=4.998 alpha=60.00 beta=60.00 gamma=60.00
Fractional positions:
Cd (0.250, 0.250, 0.250)
Au (0.000, 0.000, 0.000)
Au (0.750, 0.750, 0.750)
Pb (0.500, 0.500, 0.500)

Computed properties:
ρ: 13418 kg/m3
crystal system: cubic
SG: F-43m
raw total energy: -2.751 eV/atom